# PBE Te2AsRhI, relaxed
# - Distance to the lowest polymorph of the same formula: 0.0 meV per atom
# - V: 143 Å³ per cell
# - SG: P4/mmm, No. 123
data_Te2AsRhI
_cell_length_a 5.196
_cell_length_b 5.196
_cell_length_c 5.315
_cell_angle_alpha 90.00
_cell_angle_beta 90.00
_cell_angle_gamma 90.00
_symmetry_space_group_name_H-M 'P 1'
_symmetry_Int_Tables_number 1
loop_
_symmetry_equiv_pos_as_xyz
'x,y,z'
loop_
_atom_site_label
_atom_site_fract_x
_atom_site_fract_y
_atom_site_fract_z
Te1 0.500 0.000 0.000
Te2 0.000 0.500 0.000
I1 0.000 0.000 0.500
Rh1 0.000 0.000 0.000
As1 0.500 0.500 0.500